# 1
Entry from the Alexandria database: crystalline NaZrH3 at its relaxed geometry (PBE-GGA).

abc: 3.9842 3.9842 3.9842
angles: 90.00 90.00 90.00
With the nearest neighbours (Å) after each atom.
Atoms (fractional coordinates):
H: 0.0000 0.0000 0.5000  2 Zr 1.99
H: 0.5000 0.0000 0.0000  2 Zr 1.99
H: 0.0000 0.5000 0.0000  2 Zr 1.99
Na: 0.5000 0.5000 0.5000  12 H 2.82
Zr: 0.0000 0.0000 0.0000  6 H 1.99

=====

# 2
Entry from the Alexandria database: crystalline NaZr2H at its relaxed geometry (PBE-GGA).

abc: 6.3806 6.3806 6.0666
angles: 58.27 58.27 90.00
With the nearest neighbours (Å) after each atom.
Atoms (fractional coordinates):
Na: 0.7500 0.2500 0.5000  8 Zr 3.24-3.48
Zr: 0.2875 0.6250 0.2500  2 H 1.97
Na: 0.0000 0.0000 0.0000  8 Zr 3.24-3.48
H: 0.2500 0.7500 0.5000  4 Zr 1.97
Zr: 0.8750 0.7125 0.7500  2 H 1.97
Zr: 0.3750 0.5375 0.7500  2 H 1.97
H: 0.5000 0.5000 0.0000  4 Zr 1.97
Zr: 0.4625 0.1250 0.2500  2 H 1.97

=====

# 3
Entry from the Alexandria database: crystalline NaZr2H at its relaxed geometry (PBE-GGA).

abc: 3.0865 3.0865 9.5212
angles: 80.67 80.67 60.00
With the nearest neighbours (Å) after each atom.
Atoms (fractional coordinates):
Zr: 0.8840 0.8840 0.3481  3 H 2.28
Zr: 0.1160 0.1160 0.6519  3 H 2.28
H: 0.5000 0.5000 0.5000  6 Zr 2.28
Na: 0.0000 0.0000 0.0000  6 Na 3.09, 2 Zr 3.26

=====

# 4
Entry from the Alexandria database: crystalline NaZrH2 at its relaxed geometry (PBE-GGA).

abc: 4.0243 4.0243 4.0243
angles: 60.00 60.00 60.00
With the nearest neighbours (Å) after each atom.
Atoms (fractional coordinates):
H: 0.7500 0.7500 0.7500  4 Zr 2.46, 4 Na 2.46
H: 0.2500 0.2500 0.2500  4 Zr 2.46, 4 Na 2.46
Na: 0.0000 0.0000 0.0000  8 H 2.46
Zr: 0.5000 0.5000 0.5000  8 H 2.46

=====

It is found that the E values, taken in the order of the records, are -4.11; -5.10; -5.30; -3.72 eV/atom.